Density functional theory data (PBE) for a relaxed structure of TiBe2Nb2Ru5.

Unit cell a=3.1251 b=9.3424 c=9.3424 alpha=90.00 beta=90.00 gamma=90.00
Closest atoms and distances in Å follow each position.
Element x y z (fractional)
Ru: 0.5000 0.0732 0.7919  2 Be 2.27
Ru: 0.5000 0.2919 0.5732  2 Be 2.27
Ru: 0.5000 0.7919 0.9268  2 Be 2.27
Ru: 0.5000 0.2081 0.0732  2 Be 2.27
Ru: 0.5000 0.5000 0.0000  4 Be 2.26
Ru: 0.5000 0.4268 0.2919  2 Be 2.27
Ru: 0.5000 0.9268 0.2081  2 Be 2.27
Ru: 0.5000 0.0000 0.5000  4 Be 2.26
Ru: 0.5000 0.7081 0.4268  2 Be 2.27
Ru: 0.5000 0.5732 0.7081  2 Be 2.27
Be: 0.0000 0.3765 0.1235  6 Ru 2.26-2.27
Be: 0.0000 0.1235 0.6235  6 Ru 2.26-2.27
Be: 0.0000 0.8765 0.3765  6 Ru 2.26-2.27
Be: 0.0000 0.6235 0.8765  6 Ru 2.26-2.27
Nb: 0.0000 0.8260 0.6740  3 Be 2.68-2.82, 6 Ru 2.78-2.85
Nb: 0.0000 0.1740 0.3260  3 Be 2.68-2.82, 6 Ru 2.78-2.85
Nb: 0.0000 0.6740 0.1740  3 Be 2.68-2.82, 6 Ru 2.78-2.85
Nb: 0.0000 0.3260 0.8260  3 Be 2.68-2.82, 6 Ru 2.78-2.85
Ti: 0.0000 0.0000 0.0000  8 Ru 2.59
Ti: 0.0000 0.5000 0.5000  8 Ru 2.59

## Properties
formation energy	-0.428	eV per atom
V	272.8	Å³/cell
VASP energy	-8.614	eV/atom
magnetization	0.00	μB/cell